## Sm4Te2C (PBE)

Data for a geometry-optimized Sm4Te2C structure.

Cell: 4.0076 6.4631 8.2276 Å, 68.87 75.90 71.94°
With the nearest neighbours (Å) after each atom.
Positions (direct):
C (0.0000, 0.0000, 0.0000)  6 Sm 2.52-2.58
Te (0.3426, 0.6386, 0.6762)  8 Sm 3.21-3.49
Te (0.6574, 0.3614, 0.3238)  8 Sm 3.21-3.49
Sm (0.0592, 0.2073, 0.6742)  1 C 2.52
Sm (0.9407, 0.7927, 0.3258)  1 C 2.52
Sm (0.3561, 0.2347, 0.0532)  2 C 2.58
Sm (0.6439, 0.7653, 0.9468)  2 C 2.58

Output
* E above lowest polymorph: 0 meV per atom
* total moment: 0.000 μB per atom
* SG: C2/m
* ρ: 7.72 g cm⁻³
* density of states at the Fermi level: 4.76 states/eV/cell

## Sm6Te2C3 (PBE)

Data for a geometry-optimized Sm6Te2C3 structure.

Cell: 6.6155 6.6236 7.7070 Å, 81.67 73.14 60.04°
With the nearest neighbours (Å) after each atom.
Positions (direct):
Sm (0.3956, 0.6604, 0.8143)  3 C 2.52-2.62
Sm (0.7335, 0.0000, 0.8206)  3 C 2.54-2.64
Sm (0.0560, 0.3396, 0.8143)  3 C 2.52-2.62
Sm (0.2665, 0.0000, 0.1794)  3 C 2.54-2.64
Sm (0.6044, 0.3396, 0.1857)  3 C 2.52-2.62
Sm (0.9440, 0.6604, 0.1857)  3 C 2.52-2.62
Te (0.1649, 0.6703, 0.5000)  6 Sm 3.19-3.20
Te (0.8351, 0.3297, 0.5000)  6 Sm 3.19-3.20
C (0.0000, 0.0000, 0.0000)  6 Sm 2.54-2.61
C (0.3282, 0.3436, 0.0000)  6 Sm 2.52-2.64
C (0.6718, 0.6564, 0.0000)  6 Sm 2.52-2.64

Output
* uncorrected energy: -6.311 eV/atom
* total moment: 0.048 μB per atom
* SG: C2/m
* ρ: 7.08 g cm⁻³
* density of states at the Fermi level: 5.10 states/eV/cell

## Sm4Te2C (PBE)

Data for a geometry-optimized Sm4Te2C structure.

Cell: 4.8416 4.8416 8.8271 Å, 74.08 74.08 90.00°
With the nearest neighbours (Å) after each atom.
Positions (direct):
C (0.0000, 0.0000, 0.0000)  6 Sm 2.42-2.62
Te (0.6414, 0.6414, 0.7172)  9 Sm 3.21-3.44
Te (0.3586, 0.3586, 0.2828)  9 Sm 3.21-3.44
Sm (0.8388, 0.8388, 0.3225)  1 C 2.62
Sm (0.1612, 0.1612, 0.6775)  1 C 2.62
Sm (0.0000, 0.5000, 0.0000)  2 C 2.42
Sm (0.5000, 0.0000, 0.0000)  2 C 2.42

Output
* E above lowest polymorph: 131 meV per atom
* total moment: 0.000 μB per atom
* SG: I4/mmm
* ρ: 7.56 g cm⁻³
* density of states at the Fermi level: 6.84 states/eV/cell

## Sm4TlTeC (PBE)

Data for a geometry-optimized Sm4TlTeC structure.

Cell: 7.0013 7.0159 8.7633 Å, 90.00 113.54 90.00°
With the nearest neighbours (Å) after each atom.
Positions (direct):
Sm (0.9108, 0.2500, 0.8217)  1 C 2.55
Sm (0.4070, 0.7500, 0.8140)  1 C 2.55
Sm (0.0892, 0.7500, 0.1783)  1 C 2.55
Sm (0.5930, 0.2500, 0.1860)  1 C 2.55
Sm (0.5000, 0.5000, 0.5000)  2 C 2.48
Sm (0.0000, 0.0000, 0.5000)  2 C 2.48
Sm (0.5000, 0.0000, 0.5000)  2 C 2.48
Sm (0.0000, 0.5000, 0.5000)  2 C 2.48
Tl (0.1110, 0.2500, 0.2220)  9 Sm 3.22-3.53
Tl (0.8890, 0.7500, 0.7780)  9 Sm 3.22-3.53
Te (0.6103, 0.7500, 0.2207)  9 Sm 3.27-3.52
Te (0.3897, 0.2500, 0.7793)  9 Sm 3.27-3.52
C (0.2481, 0.7500, 0.4962)  6 Sm 2.48-2.55
C (0.7519, 0.2500, 0.5038)  6 Sm 2.48-2.55

Output
* uncorrected energy: -5.367 eV/atom
* total moment: 0.000 μB per atom
* SG: Cmcm
* ρ: 7.96 g cm⁻³
* density of states at the Fermi level: 8.90 states/eV/cell

## SmUTe2C (PBE)

Data for a geometry-optimized SmUTe2C structure.

Cell: 4.0633 4.0633 16.3552 Å, 90.00 90.00 90.00°
With the nearest neighbours (Å) after each atom.
Positions (direct):
Sm (0.5000, 0.0000, 0.1428)  5 Te 3.03-3.05
Sm (0.0000, 0.5000, 0.8572)  5 Te 3.03-3.05
U (0.5000, 0.0000, 0.5672)  4 C 2.31
U (0.0000, 0.5000, 0.4328)  4 C 2.31
Te (0.0000, 0.5000, 0.6721)  1 Sm 3.03, 4 U 3.35
Te (0.0000, 0.5000, 0.0804)  4 Sm 3.05
Te (0.5000, 0.0000, 0.9196)  4 Sm 3.05
Te (0.5000, 0.0000, 0.3279)  1 Sm 3.03, 4 U 3.35
C (0.0000, 0.0000, 0.5000)  4 U 2.31
C (0.5000, 0.5000, 0.5000)  4 U 2.31

Output
* uncorrected energy: -7.060 eV/atom
* total moment: 0.154 μB per atom
* SG: P4/nmm
* ρ: 8.06 g cm⁻³
* density of states at the Fermi level: 10.16 states/eV/cell

## SmYTeC (PBE)

Data for a geometry-optimized SmYTeC structure.

Cell: 3.8638 3.8641 7.5284 Å, 90.01 104.87 120.00°
With the nearest neighbours (Å) after each atom.
Positions (direct):
Sm (0.5117, 0.1538, 0.6808)  3 C 2.62-2.63
Y (0.0951, 0.9456, 0.0560)  3 C 2.59
Te (0.9646, 0.3804, 0.3599)  3 Y 3.12, 3 Sm 3.21
C (0.3065, 0.5510, 0.8730)  3 Y 2.59, 3 Sm 2.62-2.63

Output
* uncorrected energy: -6.697 eV/atom
* total moment: 0.000 μB per atom
* SG: R3m
* ρ: 6.77 g cm⁻³
* density of states at the Fermi level: 0.70 states/eV/cell

## Sm2Th5C4 (PBE)

Data for a geometry-optimized Sm2Th5C4 structure.

Cell: 3.6002 8.7384 9.4174 Å, 60.53 101.02 90.00°
With the nearest neighbours (Å) after each atom.
Positions (direct):
Sm (0.3604, 0.8154, 0.7207)  3 C 2.52-2.78
Sm (0.6396, 0.1846, 0.2793)  3 C 2.52-2.78
Th (0.9347, 0.3955, 0.8694)  3 C 2.54-2.63
Th (0.0653, 0.6045, 0.1306)  3 C 2.54-2.63
Th (0.7109, 0.7109, 0.4218)  3 C 2.50-2.60
Th (0.5000, 0.0000, 0.0000)  4 C 2.62
Th (0.2891, 0.2891, 0.5782)  3 C 2.50-2.60
C (0.3160, 0.5542, 0.6321)  5 Th 2.50-2.63, 1 Sm 2.78
C (0.0706, 0.1015, 0.1412)  2 Sm 2.52, 3 Th 2.54-2.62
C (0.6840, 0.4458, 0.3679)  5 Th 2.50-2.63, 1 Sm 2.78
C (0.9294, 0.8985, 0.8588)  2 Sm 2.52, 3 Th 2.54-2.62

Output
* uncorrected energy: -7.651 eV/atom
* total moment: 0.000 μB per atom
* SG: C2/m
* ρ: 9.96 g cm⁻³
* density of states at the Fermi level: 6.67 states/eV/cell

## SmTh5C3 (PBE)

Data for a geometry-optimized SmTh5C3 structure.

Cell: 7.2609 7.2609 9.6590 Å, 100.12 112.45 104.97°
With the nearest neighbours (Å) after each atom.
Positions (direct):
Sm (0.7937, 0.9009, 0.6946)  3 C 2.60-2.64
Sm (0.2063, 0.0991, 0.3054)  3 C 2.60-2.64
Th (0.7056, 0.0429, 0.3335)  3 C 2.58-2.60
Th (0.7082, 0.7082, 0.0000)  3 C 2.58-2.61
Th (0.7959, 0.2359, 0.0317)  3 C 2.59-2.61
Th (0.7913, 0.5697, 0.3610)  3 C 2.56-2.60
Th (0.2087, 0.4303, 0.6390)  3 C 2.56-2.60
Th (0.2041, 0.7641, 0.9683)  3 C 2.59-2.61
Th (0.2906, 0.6279, 0.3335)  3 C 2.58-2.60
Th (0.2918, 0.2918, 0.0000)  3 C 2.58-2.61
Th (0.2944, 0.9571, 0.6665)  3 C 2.58-2.60
Th (0.7094, 0.3721, 0.6665)  3 C 2.58-2.60
C (0.5016, 0.3314, 0.8330)  6 Th 2.60-2.61
C (0.9975, 0.3390, 0.3364)  5 Th 2.56-2.60, 1 Sm 2.64
C (0.0000, 0.0000, 0.0000)  4 Th 2.58-2.59, 2 Sm 2.60
C (0.5000, 0.0000, 0.5000)  4 Th 2.58, 2 Sm 2.61
C (0.4984, 0.6686, 0.1670)  6 Th 2.60-2.61
C (0.0025, 0.6610, 0.6636)  5 Th 2.56-2.60, 1 Sm 2.64

Output
* uncorrected energy: -7.869 eV/atom
* total moment: 0.000 μB per atom
* SG: C2/m
* ρ: 10.34 g cm⁻³
* density of states at the Fermi level: 17.13 states/eV/cell

## SmThC2 (PBE)

Data for a geometry-optimized SmThC2 structure.

Cell: 3.7442 3.7442 6.4445 Å, 73.11 73.11 60.00°
With the nearest neighbours (Å) after each atom.
Positions (direct):
C (0.2534, 0.2534, 0.2398)  3 Th 2.61, 3 Sm 2.68
C (0.7466, 0.7466, 0.7602)  3 Th 2.61, 3 Sm 2.68
Sm (0.5000, 0.5000, 0.5000)  6 C 2.68
Th (0.0000, 0.0000, 0.0000)  6 C 2.61

Output
* E above lowest polymorph: 0 meV per atom
* total moment: 0.000 μB per atom
* SG: R-3m
* ρ: 9.16 g cm⁻³
* density of states at the Fermi level: 5.45 states/eV/cell

## Sm3ThC8 (PBE)

Data for a geometry-optimized Sm3ThC8 structure.

Cell: 6.3700 6.3725 6.3714 Å, 67.57 76.30 112.42°
With the nearest neighbours (Å) after each atom.
Positions (direct):
Sm (0.7502, 0.5000, 0.7498)  8 C 2.66-2.67
Sm (0.2502, 0.5000, 0.2498)  8 C 2.66-2.67
Sm (0.5000, 0.0000, 0.5000)  8 C 2.58-2.64
Th (0.9999, 0.0000, 0.9999)  4 C 2.46
C (0.0735, 0.0000, 0.6038)  1 C 1.31
C (0.6039, 0.6769, 0.3962)  1 C 1.31
C (0.9270, 0.3231, 0.0731)  1 C 1.31
C (0.3961, 0.0000, 0.9266)  1 C 1.31
C (0.8696, 0.0000, 0.5989)  1 C 1.31
C (0.5981, 0.4675, 0.4020)  1 C 1.31
C (0.1306, 0.5325, 0.8695)  1 C 1.31
C (0.4012, 0.0000, 0.1304)  1 C 1.31

Output
* uncorrected energy: -7.763 eV/atom
* total moment: 0.000 μB per atom
* SG: I-42m
* ρ: 6.55 g cm⁻³
* density of states at the Fermi level: 5.14 states/eV/cell

## SmTh5C4 (PBE)

Data for a geometry-optimized SmTh5C4 structure.

Cell: 3.7034 7.5912 8.3055 Å, 102.53 102.88 90.00°
With the nearest neighbours (Å) after each atom.
Positions (direct):
Sm (0.5000, 0.0000, 0.0000)  6 C 2.68-2.70
Th (0.1601, 0.3079, 0.3203)  3 C 2.47-2.55
Th (0.1626, 0.8444, 0.3253)  4 C 2.58-2.64
Th (0.8374, 0.1556, 0.6747)  4 C 2.58-2.64
Th (0.5000, 0.5000, 0.0000)  4 C 2.60
Th (0.8399, 0.6921, 0.6797)  3 C 2.47-2.55
C (0.6701, 0.0833, 0.3401)  5 Th 2.55-2.64, 1 Sm 2.68
C (0.0044, 0.2612, 0.0088)  4 Th 2.47-2.64, 2 Sm 2.70
C (0.3299, 0.9167, 0.6599)  5 Th 2.55-2.64, 1 Sm 2.68
C (0.9956, 0.7388, 0.9912)  4 Th 2.47-2.64, 2 Sm 2.70

Output
* uncorrected energy: -8.107 eV/atom
* total moment: 0.000 μB per atom
* SG: C2/m
* ρ: 10.17 g cm⁻³
* density of states at the Fermi level: 5.91 states/eV/cell

## Sm2ThC2 (PBE)

Data for a geometry-optimized Sm2ThC2 structure.

Cell: 3.7123 3.7123 9.9820 Å, 79.28 79.28 60.00°
With the nearest neighbours (Å) after each atom.
Positions (direct):
Sm (0.2330, 0.2330, 0.3010)  3 C 2.51
Sm (0.7670, 0.7670, 0.6990)  3 C 2.51
Th (0.0000, 0.0000, 0.0000)  6 C 2.69
C (0.6109, 0.6109, 0.1674)  3 Sm 2.51, 3 Th 2.69
C (0.3891, 0.3891, 0.8326)  3 Sm 2.51, 3 Th 2.69

Output
* uncorrected energy: -7.278 eV/atom
* total moment: 0.000 μB per atom
* SG: R-3m
* ρ: 7.95 g cm⁻³
* density of states at the Fermi level: 2.72 states/eV/cell

## Sm3ThC2 (PBE)

Data for a geometry-optimized Sm3ThC2 structure.

Cell: 3.6444 7.4714 11.5841 Å, 79.60 80.95 75.88°
With the nearest neighbours (Å) after each atom.
Positions (direct):
Sm (0.1385, 0.9593, 0.7638)  3 C 2.53-2.54
Sm (0.8615, 0.0407, 0.2362)  3 C 2.53-2.54
Sm (0.3573, 0.2982, 0.9872)  3 C 2.54-2.57
Sm (0.6427, 0.7018, 0.0128)  3 C 2.54-2.57
Sm (0.6437, 0.2011, 0.5114)  3 C 2.53-2.54
Sm (0.3563, 0.7989, 0.4886)  3 C 2.53-2.54
Th (0.8567, 0.5506, 0.7359)  3 C 2.48
Th (0.1433, 0.4494, 0.2641)  3 C 2.48
C (0.2532, 0.6244, 0.8692)  2 Th 2.48, 4 Sm 2.54-2.57
C (0.7468, 0.3756, 0.1308)  2 Th 2.48, 4 Sm 2.54-2.57
C (0.7493, 0.8737, 0.6277)  1 Th 2.48, 5 Sm 2.53-2.54
C (0.2507, 0.1263, 0.3723)  1 Th 2.48, 5 Sm 2.53-2.54

Output
* uncorrected energy: -6.845 eV/atom
* total moment: 0.000 μB per atom
* SG: C2/m
* ρ: 7.86 g cm⁻³
* density of states at the Fermi level: 11.16 states/eV/cell

## SmThC2 (PBE)

Data for a geometry-optimized SmThC2 structure.

Cell: 3.6627 3.6641 6.3832 Å, 90.20 90.00 119.99°
With the nearest neighbours (Å) after each atom.
Positions (direct):
Sm (0.0000, 0.5000, 0.0000)  6 C 2.70-2.71
Th (0.0000, 0.5000, 0.5000)  6 C 2.59-2.60
C (0.6667, 0.8334, 0.7361)  3 Th 2.59-2.60, 3 Sm 2.70-2.71
C (0.3333, 0.1666, 0.2639)  3 Th 2.59-2.60, 3 Sm 2.70-2.71

Output
* E above lowest polymorph: 280 meV per atom
* total moment: 0.000 μB per atom
* SG: C2/m
* ρ: 9.10 g cm⁻³
* density of states at the Fermi level: 3.65 states/eV/cell

## Sm2ThC (PBE)

Data for a geometry-optimized Sm2ThC structure.

Cell: 3.5576 3.5576 10.2914 Å, 80.05 80.05 60.00°
With the nearest neighbours (Å) after each atom.
Positions (direct):
C (0.5000, 0.5000, 0.5000)  6 Sm 2.49
Sm (0.1202, 0.1202, 0.6395)  3 C 2.49
Sm (0.8798, 0.8798, 0.3605)  3 C 2.49
Th (0.0000, 0.0000, 0.0000)  6 Th 3.56, 2 Sm 3.64

Output
* uncorrected energy: -6.476 eV/atom
* total moment: 0.000 μB per atom
* SG: R-3m
* ρ: 8.18 g cm⁻³
* density of states at the Fermi level: 3.47 states/eV/cell

## SmTh3C2 (PBE)

Data for a geometry-optimized SmTh3C2 structure.

Cell: 3.6637 8.5039 9.9481 Å, 89.14 79.39 77.56°
With the nearest neighbours (Å) after each atom.
Positions (direct):
Sm (0.4391, 0.4227, 0.6992)  3 C 2.56-2.58
Sm (0.5609, 0.5773, 0.3008)  3 C 2.56-2.58
Th (0.0593, 0.0802, 0.8011)  3 C 2.56-2.58
Th (0.9407, 0.9198, 0.1989)  3 C 2.56-2.58
Th (0.6880, 0.6752, 0.9488)  3 C 2.52-2.55
Th (0.3120, 0.3248, 0.0512)  3 C 2.52-2.55
Th (0.8091, 0.8270, 0.5547)  3 C 2.55
Th (0.1909, 0.1730, 0.4453)  3 C 2.55
C (0.8717, 0.3763, 0.8803)  4 Th 2.52-2.56, 2 Sm 2.58
C (0.1283, 0.6237, 0.1197)  4 Th 2.52-2.56, 2 Sm 2.58
C (0.6268, 0.1257, 0.6207)  5 Th 2.55-2.58, 1 Sm 2.56
C (0.3732, 0.8743, 0.3793)  5 Th 2.55-2.58, 1 Sm 2.56

Output
* uncorrected energy: -7.769 eV/atom
* total moment: 0.012 μB per atom
* SG: C2/m
* ρ: 9.72 g cm⁻³
* density of states at the Fermi level: 14.48 states/eV/cell

## SmThC2 (PBE)

Data for a geometry-optimized SmThC2 structure.

Cell: 3.6919 3.6919 6.5666 Å, 73.67 73.67 60.00°
With the nearest neighbours (Å) after each atom.
Positions (direct):
Sm (0.4968, 0.4968, 0.5095)  6 C 2.64-2.74
Th (0.6672, 0.6672, 0.9983)  6 C 2.58-2.60
C (0.0801, 0.0801, 0.7598)  3 Th 2.60, 3 Sm 2.64
C (0.2559, 0.2559, 0.2324)  3 Th 2.58, 3 Sm 2.74

Output
* E above lowest polymorph: 148 meV per atom
* total moment: 0.000 μB per atom
* SG: R3m
* ρ: 9.21 g cm⁻³
* density of states at the Fermi level: 3.88 states/eV/cell

## SmTh8C6 (PBE)

Data for a geometry-optimized SmTh8C6 structure.

Cell: 6.4228 6.4228 10.1805 Å, 71.61 71.61 60.00°
With the nearest neighbours (Å) after each atom.
Positions (direct):
Sm (0.0000, 0.0000, 0.0000)  6 C 2.73
Th (0.7735, 0.4341, 0.6885)  3 C 2.50
Th (0.8961, 0.2265, 0.3115)  3 C 2.50
Th (0.5659, 0.8961, 0.3115)  3 C 2.50
Th (0.3333, 0.3333, 0.0001)  6 C 2.70
Th (0.6667, 0.6667, 0.9999)  6 C 2.70
Th (0.4341, 0.1039, 0.6885)  3 C 2.50
Th (0.1039, 0.7735, 0.6885)  3 C 2.50
Th (0.2265, 0.5659, 0.3115)  3 C 2.50
C (0.9416, 0.6052, 0.1752)  5 Th 2.50-2.70, 1 Sm 2.73
C (0.7220, 0.0584, 0.8248)  5 Th 2.50-2.70, 1 Sm 2.73
C (0.3948, 0.7220, 0.8248)  5 Th 2.50-2.70, 1 Sm 2.73
C (0.6052, 0.2780, 0.1752)  5 Th 2.50-2.70, 1 Sm 2.73
C (0.2780, 0.9416, 0.1752)  5 Th 2.50-2.70, 1 Sm 2.73
C (0.0584, 0.3948, 0.8248)  5 Th 2.50-2.70, 1 Sm 2.73

Output
* uncorrected energy: -8.209 eV/atom
* total moment: 0.000 μB per atom
* SG: R-3
* ρ: 10.19 g cm⁻³
* density of states at the Fermi level: 13.77 states/eV/cell

## Sm2ThTlC (PBE)

Data for a geometry-optimized Sm2ThTlC structure.

Cell: 5.0479 5.0876 5.0876 Å, 90.00 90.00 90.00°
With the nearest neighbours (Å) after each atom.
Positions (direct):
Sm (0.0000, 0.0000, 0.5000)  2 C 2.54
Sm (0.0000, 0.5000, 0.0000)  2 C 2.54
Th (0.5000, 0.0000, 0.0000)  2 C 2.52
Tl (0.5000, 0.5000, 0.5000)  8 Sm 3.58, 4 Th 3.60
C (0.0000, 0.0000, 0.0000)  2 Th 2.52, 4 Sm 2.54

Output
* uncorrected energy: -6.006 eV/atom
* total moment: 0.000 μB per atom
* SG: P4/mmm
* ρ: 9.52 g cm⁻³
* density of states at the Fermi level: 3.06 states/eV/cell

## SmTh2UC4 (PBE)

Data for a geometry-optimized SmTh2UC4 structure.

Cell: 3.7011 6.3839 6.3514 Å, 70.67 90.00 90.00°
With the nearest neighbours (Å) after each atom.
Positions (direct):
Sm (0.5000, 0.5000, 0.0000)  6 C 2.62-2.64
Th (0.0000, 0.0000, 0.0000)  6 C 2.74-2.82
Th (0.5000, 0.0000, 0.5000)  6 C 2.59-2.60
U (0.0000, 0.5000, 0.5000)  6 C 2.37-2.48
C (0.0000, 0.7325, 0.7239)  1 U 2.37, 2 Th 2.60, 2 Sm 2.64
C (0.0000, 0.2675, 0.2761)  1 U 2.37, 2 Th 2.60, 2 Sm 2.64
C (0.5000, 0.7263, 0.2766)  2 U 2.48, 3 Th 2.59-2.74, 1 Sm 2.62
C (0.5000, 0.2737, 0.7234)  2 U 2.48, 3 Th 2.59-2.74, 1 Sm 2.62

Output
* uncorrected energy: -8.645 eV/atom
* total moment: 0.000 μB per atom
* SG: P2/m
* ρ: 10.56 g cm⁻³
* density of states at the Fermi level: 5.84 states/eV/cell